(1)
# SnPtIN2

SnPtIN2 after structural relaxation (GGA-PBE, Alexandria).

Cell lengths 4.0670, 4.0670, 7.2332 Å; angles 90.00, 90.00, 90.00 degrees
Positions (direct):
Sn  0.0000  0.0000  0.0000
Pt  0.5000  0.5000  0.5000
I  0.5000  0.5000  0.0000
N  0.0000  0.5000  0.5000
N  0.5000  0.0000  0.5000

## Properties
formation energy (no corrections): 1.366 eV/atom
polymorph energy (0 for the lowest one): 0 meV per atom

=====

(2)
# TeIrRh2

TeIrRh2 after structural relaxation (GGA-PBE, Alexandria).

Cell lengths 4.6663, 3.0844, 4.7376 Å; angles 90.00, 107.87, 90.00 degrees
Positions (direct):
Te  0.0000  0.0000  0.0000
Ir  0.0000  0.5000  0.5000
Rh  0.5000  0.0000  0.5000
Rh  0.5000  0.5000  0.0000

## Properties
formation energy (no corrections): 0.190 eV/atom

=====

(3)
# CrN

CrN after structural relaxation (GGA-PBE, Alexandria).

Cell lengths 2.7024, 2.7024, 2.9048 Å; angles 90.00, 90.00, 90.00 degrees
Positions (direct):
Cr  0.0000  0.0000  0.0000
N  0.5000  0.5000  0.0000

## Properties
formation energy (no corrections): -0.064 eV/atom

=====

What is the formula in the third record?
CrN

=====

The highest formation energy (no corrections) belongs to which entry?
SnPtIN2

=====

Copy entry 2 word for word.
# TeIrRh2

TeIrRh2 after structural relaxation (GGA-PBE, Alexandria).

Cell lengths 4.6663, 3.0844, 4.7376 Å; angles 90.00, 107.87, 90.00 degrees
Positions (direct):
Te  0.0000  0.0000  0.0000
Ir  0.0000  0.5000  0.5000
Rh  0.5000  0.0000  0.5000
Rh  0.5000  0.5000  0.0000

## Properties
formation energy (no corrections): 0.190 eV/atom

=====

What is the formation energy (no corrections) in the first record?
1.366 eV/atom